Record 1
# SbWSeBr2 | Alexandria via LeMat-Bulk | SCAN | single point on PBEsol structure
data_SbWSeBr2
_cell_length_a 5.323
_cell_length_b 5.323
_cell_length_c 5.505
_cell_angle_alpha 90.00
_cell_angle_beta 90.00
_cell_angle_gamma 90.00
_space_group_name_H-M_alt 'P 4/m m m'
_space_group_IT_number 123
_space_group_name_Hall '-P 4 2'
loop_
_atom_site_label
_atom_site_fract_x
_atom_site_fract_y
_atom_site_fract_z
Sb1 0.000 0.000 0.000
W1 0.500 0.500 0.500
Se1 0.000 0.000 0.500
Br1 0.000 0.500 0.000
# Total energy, eV per atom: -31.92
# Raw formation energy, meV/atom: 1267
# M_tot, μB per formula unit: 4.97

=====

Record 2
# RbNa2Ag2 | Alexandria via LeMat-Bulk | SCAN | single point on PBEsol structure
data_RbNa2Ag2
_cell_length_a 4.821
_cell_length_b 4.821
_cell_length_c 13.219
_cell_angle_alpha 90.00
_cell_angle_beta 90.00
_cell_angle_gamma 90.00
_space_group_name_H-M_alt 'I 4/m m m'
_space_group_IT_number 139
_space_group_name_Hall '-I 4 2'
loop_
_atom_site_label
_atom_site_fract_x
_atom_site_fract_y
_atom_site_fract_z
Rb1 0.000 0.000 0.000
Na1 0.000 0.500 0.250
Ag1 0.000 0.000 0.398
# Energy relative to the elements, eV per formula unit: 0.19
# Total energy, eV per atom: -18.34
# M_tot, μB per formula unit: 0.00

=====

Record 3
# BaCuRu2 | Alexandria via LeMat-Bulk | SCAN | single point on PBEsol structure
data_BaCuRu2
_cell_length_a 6.533
_cell_length_b 6.533
_cell_length_c 6.533
_cell_angle_alpha 90.00
_cell_angle_beta 90.00
_cell_angle_gamma 90.00
_space_group_name_H-M_alt 'F m -3 m'
_space_group_IT_number 225
_space_group_name_Hall '-F 4 2 3'
loop_
_atom_site_label
_atom_site_fract_x
_atom_site_fract_y
_atom_site_fract_z
Ba1 0.000 0.000 0.000
Cu1 0.000 0.000 0.500
Ru1 0.250 0.250 0.250
# Energy relative to the elements, eV per formula unit: 4.83
# Total energy, eV per atom: -29.89
# M_tot, μB per formula unit: 2.74

=====

Record 4
# MgTl3As | Alexandria via LeMat-Bulk | SCAN | single point on PBEsol structure
data_MgTl3As
_cell_length_a 5.530
_cell_length_b 5.530
_cell_length_c 5.530
_cell_angle_alpha 90.00
_cell_angle_beta 90.00
_cell_angle_gamma 90.00
_space_group_name_H-M_alt 'P m -3 m'
_space_group_IT_number 221
_space_group_name_Hall '-P 4 2 3'
loop_
_atom_site_label
_atom_site_fract_x
_atom_site_fract_y
_atom_site_fract_z
Mg1 0.000 0.000 0.000
Tl1 0.000 0.500 0.500
As1 0.500 0.500 0.500
# Energy relative to the elements, eV per formula unit: 1.97
# Total energy, eV per atom: -48.05
# M_tot, μB per formula unit: 0.00

=====

Record 5
# HfAlFe | Alexandria via LeMat-Bulk | SCAN | single point on PBEsol structure
data_HfAlFe
_cell_length_a 8.142
_cell_length_b 5.013
_cell_length_c 8.747
_cell_angle_alpha 90.00
_cell_angle_beta 90.00
_cell_angle_gamma 90.00
_space_group_name_H-M_alt 'A m m 2'
_space_group_IT_number 38
loop_
_space_group_symop_operation_xyz
'x,y,z'
'-x,-y,z'
'-x,y,z'
'x,-y,z'
'x,y+1/2,z+1/2'
'-x,-y+1/2,z+1/2'
'-x,y+1/2,z+1/2'
'x,-y+1/2,z+1/2'
loop_
_atom_site_label
_atom_site_fract_x
_atom_site_fract_y
_atom_site_fract_z
Hf1 0.181 0.000 0.000
Hf2 0.293 0.000 0.671
Al1 0.000 0.000 0.498
Al2 0.500 0.000 0.168
Al3 0.500 0.248 0.417
Fe1 0.000 0.249 0.246
Fe2 0.244 0.000 0.329
# Energy relative to the elements, eV per formula unit: -1.17
# Total energy, eV per atom: -29.91
# M_tot, μB per formula unit: 1.35

=====

Record 6
# Li2CaCd | Alexandria via LeMat-Bulk | SCAN | single point on PBEsol structure
data_Li2CaCd
_cell_length_a 3.594
_cell_length_b 3.594
_cell_length_c 7.273
_cell_angle_alpha 90.00
_cell_angle_beta 90.00
_cell_angle_gamma 90.00
_space_group_name_H-M_alt 'P 4 m m'
_space_group_IT_number 99
loop_
_space_group_symop_operation_xyz
'x,y,z'
'-y,x,z'
'-x,-y,z'
'y,-x,z'
'-x,y,z'
'y,x,z'
'x,-y,z'
'-y,-x,z'
loop_
_atom_site_label
_atom_site_fract_x
_atom_site_fract_y
_atom_site_fract_z
Li1 0.000 0.000 0.000
Li2 0.500 0.500 0.209
Ca1 0.000 0.000 0.532
Cd1 0.500 0.500 0.809
# Energy relative to the elements, eV per formula unit: -0.76
# Total energy, eV per atom: -11.41
# M_tot, μB per formula unit: 0.05

=====

> What is the M_tot in the sixth record?

0.05 μB per formula unit

=====

> Number 6 is which compound?

Li2CaCd